[1]
Computed, not measured: an optimized crystal structure of NdHo6Th3 at the GGA-PBE level of DFT. Values from VASP.

Properties
Energy relative to the elements (eV/atom): 0.074
Distance to the lowest polymorph of the same formula (eV per formula unit): 0.00
Density of states at the Fermi level (states/eV/cell): 30.94
Space group: No. 11

Structure (Quantum ESPRESSO input):
```
&SYSTEM
  ibrav = 0, nat = 20, ntyp = 3
/
ATOMIC_SPECIES
Nd 144.24 Nd.upf
Ho 164.93 Ho.upf
Th 232.04 Th.upf
CELL_PARAMETERS angstrom
12.9845 0.0000 0.0000
0.0000 3.5111 0.0000
-2.4957 0.0000 14.1173
ATOMIC_POSITIONS angstrom
Nd -0.0816 0.8778 3.1781
Nd 10.5704 2.6333 10.9392
Ho -0.8126 0.8778 13.9511
Ho 1.4459 2.6333 6.0319
Ho 0.9045 2.6333 11.0888
Ho 3.0287 2.6333 2.8673
Ho 2.9592 0.8778 8.7403
Ho 5.9999 0.8778 2.6740
Ho 4.4889 2.6333 11.4433
Ho 7.5296 2.6333 5.3770
Ho 7.4601 0.8778 11.2500
Ho 9.5843 0.8778 3.0285
Ho 9.0429 0.8778 8.0854
Ho 11.3013 2.6333 0.1662
Th -0.5142 0.8778 8.4178
Th 2.4187 2.6333 14.0169
Th 4.4917 0.8778 5.6864
Th 5.9971 2.6333 8.4309
Th 8.0701 0.8778 0.1003
Th 11.0029 2.6333 5.6995
```

[2]
Computed, not measured: an optimized crystal structure of Nd7Ho4Th at the GGA-PBE level of DFT. Values from VASP.

Properties
Energy relative to the elements (eV/atom): 0.016
Distance to the lowest polymorph of the same formula (eV per formula unit): 0.00
Density of states at the Fermi level (states/eV/cell): 16.11
Space group: No. 2

Structure (Quantum ESPRESSO input):
```
&SYSTEM
  ibrav = 0, nat = 12, ntyp = 3
/
ATOMIC_SPECIES
Nd 144.24 Nd.upf
Ho 164.93 Ho.upf
Th 232.04 Th.upf
CELL_PARAMETERS angstrom
6.3258 0.0000 0.0000
-0.0013 7.2985 0.0000
-2.1300 -0.0191 8.7436
ATOMIC_POSITIONS angstrom
Nd 0.0000 0.0000 0.0000
Nd -0.0404 3.6355 5.8619
Nd 1.0481 1.8256 2.9060
Nd 1.0326 1.8209 8.7243
Nd 3.1618 5.4584 0.0193
Nd 3.1464 5.4538 5.8377
Nd 4.2349 3.6438 2.8817
Ho -0.0275 7.2857 5.7930
Ho 1.0315 5.4789 2.8887
Ho 3.1629 1.8004 5.8550
Ho 4.2219 -0.0063 2.9507
Th -0.0007 3.6492 0.0000
```

[3]
Computed, not measured: an optimized crystal structure of NdHo5Th4 at the GGA-PBE level of DFT. Values from VASP.

Properties
Energy relative to the elements (eV/atom): 0.255
Density of states at the Fermi level (states/eV/cell): 13.16
Space group: No. 5

Structure (Quantum ESPRESSO input):
```
&SYSTEM
  ibrav = 0, nat = 10, ntyp = 3
/
ATOMIC_SPECIES
Nd 144.24 Nd.upf
Ho 164.93 Ho.upf
Th 232.04 Th.upf
CELL_PARAMETERS angstrom
5.9332 -3.1255 0.0000
5.9332 3.1255 0.0000
-5.1364 0.0000 8.7847
ATOMIC_POSITIONS angstrom
Nd 0.0000 0.0000 0.0000
Ho 2.0919 1.6968 5.4247
Ho 4.6380 1.6968 3.3600
Ho 5.9332 0.2396 0.0000
Ho 2.2938 -1.4858 2.8171
Ho 4.4362 -1.4858 5.9676
Th 2.7505 1.6561 0.7121
Th 3.9795 1.6561 8.0726
Th 0.8059 -1.4189 5.9575
Th 5.9241 -1.4189 2.8272
```

[4]
Computed, not measured: an optimized crystal structure of Nd12Ho6Th at the GGA-PBE level of DFT. Values from VASP.

Properties
Energy relative to the elements (eV/atom): 0.129
Distance to the lowest polymorph of the same formula (eV per formula unit): 0.07
Density of states at the Fermi level (states/eV/cell): 26.80
Space group: No. 166

Structure (Quantum ESPRESSO input):
```
&SYSTEM
  ibrav = 0, nat = 19, ntyp = 3
/
ATOMIC_SPECIES
Nd 144.24 Nd.upf
Ho 164.93 Ho.upf
Th 232.04 Th.upf
CELL_PARAMETERS angstrom
6.6659 3.8485 4.2993
-6.6659 3.8485 4.2993
0.0000 -7.6971 4.2993
ATOMIC_POSITIONS angstrom
Nd -1.7493 -4.6672 4.2993
Nd -4.9166 0.8187 4.2993
Nd -2.7618 -1.5945 5.7564
Nd 1.7493 -4.6672 4.2993
Nd -3.1673 3.8485 4.2993
Nd 0.0000 -3.1891 7.1414
Nd -2.7618 1.5945 7.1414
Nd 2.7618 -1.5945 5.7564
Nd 0.0000 3.1891 5.7564
Nd 4.9166 0.8187 4.2993
Nd 3.1673 3.8485 4.2993
Nd 2.7618 1.5945 7.1414
Ho 0.0000 -2.0259 2.9351
Ho -1.7545 1.0130 2.9351
Ho 1.7545 1.0130 2.9351
Ho -1.7545 -1.0129 9.9627
Ho 1.7545 -1.0130 9.9627
Ho 0.0000 2.0259 9.9627
Th 0.0000 0.0000 0.0000
```

[5]
Computed, not measured: an optimized crystal structure of Nd2Ho12Th5 at the GGA-PBE level of DFT. Values from VASP.

Properties
Energy relative to the elements (eV/atom): 0.216
Distance to the lowest polymorph of the same formula (eV per formula unit): 1.06
Density of states at the Fermi level (states/eV/cell): 29.84
Space group: No. 12

Structure (Quantum ESPRESSO input):
```
&SYSTEM
  ibrav = 0, nat = 19, ntyp = 3
/
ATOMIC_SPECIES
Nd 144.24 Nd.upf
Ho 164.93 Ho.upf
Th 232.04 Th.upf
CELL_PARAMETERS angstrom
9.2939 -3.5135 0.0000
9.2939 3.5135 0.0000
-3.9844 0.0000 9.4431
ATOMIC_POSITIONS angstrom
Nd 9.2939 1.9989 0.0000
Nd 9.2939 -1.9989 0.0000
Ho -1.2881 0.0000 3.1160
Ho 4.2799 1.7590 4.5495
Ho 5.8191 1.7282 1.2889
Ho 8.7843 1.7282 8.1542
Ho 10.3235 1.7590 4.8935
Ho 5.6974 0.0000 7.1740
Ho 8.9061 0.0000 2.2690
Ho 4.2799 -1.7590 4.5495
Ho 5.8191 -1.7282 1.2889
Ho 8.7843 -1.7282 8.1542
Ho 10.3235 -1.7590 4.8935
Ho 15.8915 0.0000 6.3270
Th 2.5176 0.0000 1.9979
Th 2.5244 0.0000 7.7451
Th 7.3017 0.0000 4.7215
Th 12.0791 0.0000 1.6980
Th 12.0858 0.0000 7.4452
```

[6]
Computed, not measured: an optimized crystal structure of Nd3HoTh3 at the GGA-PBE level of DFT. Values from VASP.

Properties
Energy relative to the elements (eV/atom): 0.067
Density of states at the Fermi level (states/eV/cell): 21.84
Space group: No. 176

Structure (Quantum ESPRESSO input):
```
&SYSTEM
  ibrav = 0, nat = 14, ntyp = 3
/
ATOMIC_SPECIES
Nd 144.24 Nd.upf
Ho 164.93 Ho.upf
Th 232.04 Th.upf
CELL_PARAMETERS angstrom
9.6136 0.0000 0.0000
-4.8068 8.3256 0.0000
0.0000 0.0000 5.9018
ATOMIC_POSITIONS angstrom
Nd -3.4162 6.6647 1.4754
Nd 0.7431 2.0348 1.4754
Nd 2.1337 0.3739 4.4263
Nd 2.6731 7.9518 1.4754
Nd 4.0637 6.2908 4.4263
Nd 8.2230 1.6609 4.4263
Ho 0.0000 5.5504 1.4754
Ho 4.8068 2.7752 4.4263
Th -1.9423 5.1105 4.4263
Th 1.3522 4.0883 4.4263
Th 4.2167 0.8732 1.4754
Th 0.5901 7.4525 4.4263
Th 3.4546 4.2373 1.4754
Th 6.7491 3.2152 1.4754
```